No. 1
12
Lattice="-2.519 4.394 -0.907 -0.176 -4.672 -7.588 -3.441 -3.435 7.470" Properties=species:S:1:pos:R:3 comment="Tb6HgAu5 (GGA-PBE, optimized geometry)" spacegroup="No. 12" delta_e_f_mev_per_atom=-789 final_energy_ev_per_atom=-4.495 dos_at_fermi_per_ev_cell=5.85 pbc="T T T"
Au -1.264 -4.260 -2.571
Au -3.068 -1.857 -0.513
Tb -5.135 -2.562 1.791
Tb -2.109 -0.731 2.296
Tb -1.001 -1.151 -2.816
Tb -4.026 -2.982 -3.321
Au -2.353 -3.847 2.453
Au -1.959 -2.277 -5.626
Tb -2.840 1.240 -0.717
Tb -3.296 -4.954 -0.308
Au -4.176 -1.437 4.601
Hg 0.000 0.000 0.000


No. 2
8
Lattice="3.641 0.000 -0.586 -0.194 5.009 -1.205 -0.059 0.045 11.229" Properties=species:S:1:pos:R:3 comment="Dy3Y2Al3 (GGA-PBE, optimized geometry)" spacegroup="No. 71" delta_e_f_mev_per_atom=-298 final_energy_ev_per_atom=-5.043 dos_at_fermi_per_ev_cell=5.68 pbc="T T T"
Al 3.002 4.463 7.041
Dy 1.821 0.000 -0.293
Dy 1.267 1.941 7.866
Al -0.097 2.504 -0.602
Y 2.585 1.172 4.456
Al 0.386 0.591 2.396
Y 0.802 3.882 4.982
Dy 2.121 3.113 1.572


No. 3
4
Lattice="-2.224 -0.439 -4.546 -4.884 -1.360 -0.317 -3.491 3.390 -1.458" Properties=species:S:1:pos:R:3 comment="SmMgScMn (GGA-PBE, optimized geometry)" spacegroup="No. 216" delta_e_f_mev_per_atom=112 final_energy_ev_per_atom=-5.341 dos_at_fermi_per_ev_cell=4.89 pbc="T T T"
Mn 0.000 0.000 0.000
Mg -5.299 0.795 -3.160
Sm -2.650 0.398 -1.580
Sc -7.949 1.193 -4.740


No. 4
4
Lattice="-5.207 -0.494 -1.927 -3.559 -3.519 2.455 -4.274 1.985 2.977" Properties=species:S:1:pos:R:3 comment="KTbCdPb (GGA-PBE, optimized geometry)" spacegroup="No. 216" delta_e_f_mev_per_atom=-136 final_energy_ev_per_atom=-2.724 dos_at_fermi_per_ev_cell=1.51 pbc="T T T"
K -3.260 -0.507 0.876
Cd 0.000 0.000 0.000
Pb -6.520 -1.014 1.752
Tb -9.780 -1.521 2.629


No. 5
5
Lattice="5.602 0.000 0.000 0.000 5.602 0.000 0.000 0.000 5.192" Properties=species:S:1:pos:R:3 comment="TeMoRhI2 (GGA-PBE, optimized geometry)" spacegroup="No. 123" raw_formation_energy_mev_per_atom=1082 final_energy_ev_per_atom=-3.803 dos_at_fermi_per_ev_cell=9.91 pbc="T T T"
Mo 0.000 0.000 0.000
Te 0.000 0.000 2.596
I 0.000 2.801 0.000
Rh 2.801 2.801 2.596
I 2.801 0.000 0.000


No. 6
4
Lattice="3.555 0.000 0.000 1.777 3.078 0.000 1.777 1.026 11.539" Properties=species:S:1:pos:R:3 comment="PmYTm2 (GGA-PBE, optimized geometry)" spacegroup="No. 166" delta_e_f_mev_per_atom=26 final_energy_ev_per_atom=-5.014 dos_at_fermi_per_ev_cell=5.82 pbc="T T T"
Tm 1.777 1.026 2.904
Tm 5.332 3.078 8.635
Pm 0.000 0.000 0.000
Y 3.555 2.052 5.770


No. 7
10
Lattice="-2.360 5.396 -1.650 -0.134 -1.841 -5.831 -2.966 -1.164 0.436" Properties=species:S:1:pos:R:3 comment="Be2VW2 (GGA-PBE, optimized geometry)" spacegroup="No. 127" delta_e_f_mev_per_atom=-218 final_energy_ev_per_atom=-8.714 dos_at_fermi_per_ev_cell=2.76 pbc="T T T"
Be -1.020 0.438 -5.775
Be -2.165 3.624 -5.058
Be -0.329 -0.068 -2.423
W -3.193 1.561 -5.695
V -1.247 1.778 -3.740
V 0.000 0.000 0.000
W -1.993 -0.871 -4.027
W -3.467 3.262 -3.018
W -2.268 0.830 -1.350
Be -1.474 3.117 -1.706


No. 8
20
Lattice="-2.276 0.203 -3.837 -0.967 -8.961 0.100 -9.955 1.141 5.965" Properties=species:S:1:pos:R:3 comment="LaIn3Ni (GGA-PBE, optimized geometry)" spacegroup="No. 62" delta_e_f_mev_per_atom=-406 final_energy_ev_per_atom=-4.190 dos_at_fermi_per_ev_cell=11.50 pbc="T T T"
In -1.924 -4.869 -0.416
In -9.314 -6.945 3.858
La -10.654 -0.495 4.993
La -6.935 -2.083 0.105
Ni -6.113 -7.494 -0.668
Ni -3.532 -3.254 -1.975
In -3.884 -0.673 -1.630
In -5.220 -5.055 -1.069
In -3.756 -2.880 0.776
Ni -7.084 -0.123 2.896
In -9.441 -4.738 1.451
In -7.978 -2.562 3.297
In -3.545 -7.440 0.410
In -11.274 -2.749 2.643
Ni -9.665 -4.363 4.203
In -4.790 -0.004 1.541
La -2.544 -7.122 -2.766
In -8.408 -7.613 0.686
In -9.653 -0.178 1.818
La -6.263 -5.534 2.123


No. 9
5
Lattice="6.923 0.000 0.000 0.000 6.923 0.000 3.462 3.462 4.490" Properties=species:S:1:pos:R:3 comment="Ba2Tl2In (GGA-PBE, optimized geometry)" spacegroup="No. 139" delta_e_f_mev_per_atom=-138 final_energy_ev_per_atom=-2.401 dos_at_fermi_per_ev_cell=5.07 pbc="T T T"
In 0.000 0.000 0.000
Tl 3.462 3.462 1.439
Ba 3.462 6.923 2.245
Ba 6.923 3.462 2.245
Tl 6.923 6.923 3.050


No. 10
4
Lattice="-2.146 -6.378 5.407 3.815 -4.531 6.280 -1.850 7.561 -3.733" Properties=species:S:1:pos:R:3 comment="Ba2TeCl (GGA-PBE, optimized geometry)" spacegroup="No. 44" raw_formation_energy_mev_per_atom=-1652 final_energy_ev_per_atom=-3.860 dos_at_fermi_per_ev_cell=2.60 pbc="T T T"
Ba -1.501 -2.656 4.317
Te 1.317 -0.671 3.616
Ba 0.063 -0.409 0.439
Cl 0.775 -5.066 5.427


No. 11
20
Lattice="-0.224 7.425 -2.063 -6.563 -1.266 -3.843 -4.040 1.645 6.357" Properties=species:S:1:pos:R:3 comment="NpAgS3 (GGA-PBE, optimized geometry)" spacegroup="No. 198" raw_formation_energy_mev_per_atom=-677 final_energy_ev_per_atom=-6.312 dos_at_fermi_per_ev_cell=37.72 pbc="T T T"
Np -4.329 4.558 4.696
S -6.457 6.997 1.114
S -4.493 4.525 -1.674
Np -6.250 4.505 0.260
S -4.351 4.507 2.055
S -5.095 7.011 4.223
S -3.085 0.337 1.316
S -6.310 1.894 0.250
Np -3.293 6.443 -3.037
Np -7.780 0.102 -1.018
S -1.136 3.070 0.806
S -7.798 5.302 -1.727
Ag -9.073 6.540 0.378
Ag -5.074 1.939 -2.212
Ag -4.929 1.863 2.575
S -9.564 1.017 0.656
S -5.700 6.649 -4.031
S -2.449 1.402 -1.844
Ag -2.576 5.266 0.161
S -8.516 4.116 1.562


No. 12
10
Lattice="-7.234 -1.858 -4.583 4.751 -0.358 -7.354 0.522 -3.256 0.496" Properties=species:S:1:pos:R:3 comment="RbBi2Pt2 (GGA-PBE, optimized geometry)" spacegroup="No. 127" delta_e_f_mev_per_atom=-101 final_energy_ev_per_atom=-4.263 dos_at_fermi_per_ev_cell=2.03 pbc="T T T"
Bi 2.271 -2.133 -5.188
Rb 0.000 0.000 0.000
Bi -1.589 -2.336 -2.452
Pt 0.833 -0.372 -3.320
Bi -4.231 -3.338 -6.253
Pt -3.936 -1.214 -3.828
Pt -3.316 -1.844 -8.616
Pt 1.454 -1.001 -8.109
Bi -0.371 -3.136 -8.989
Rb -1.241 -1.108 -5.968